[1]
DFT (PBE) results for crystalline AcInAu2 at its relaxed geometry. Values from VASP.

Cell and atoms, written as Quantum ESPRESSO input:
```
&SYSTEM
  ibrav = 0, nat = 4, ntyp = 3
/
ATOMIC_SPECIES
Au 196.97 Au.upf
In 114.82 In.upf
Ac 227.00 Ac.upf
CELL_PARAMETERS angstrom
3.978 0.000 0.000
0.000 5.121 0.000
0.000 0.000 5.121
ATOMIC_POSITIONS crystal
Au 0.000 0.500 0.000
In 0.500 0.500 0.500
Ac 0.500 0.000 0.000
Au 0.000 0.000 0.500
```

magnetization	0.00	μB/f.u.
total DFT energy (no corrections)	-3.8737	eV/atom


[2]
DFT (PBE) results for crystalline Ac3InAu2 at its relaxed geometry. Values from VASP.

Cell and atoms, written as Quantum ESPRESSO input:
```
&SYSTEM
  ibrav = 0, nat = 6, ntyp = 3
/
ATOMIC_SPECIES
Au 196.97 Au.upf
In 114.82 In.upf
Ac 227.00 Ac.upf
CELL_PARAMETERS angstrom
3.926 0.000 0.000
0.000 3.926 0.000
0.000 0.000 12.223
ATOMIC_POSITIONS crystal
Au 0.500 0.500 0.839
In 0.500 0.500 0.500
Ac 0.000 0.000 0.000
Ac 0.000 0.000 0.683
Ac 0.000 0.000 0.317
Au 0.500 0.500 0.161
```

magnetization	0.00	μB/f.u.
total DFT energy (no corrections)	-4.2588	eV/atom


[3]
DFT (PBE) results for crystalline AcIn2Au6 at its relaxed geometry. Values from VASP.

Cell and atoms, written as Quantum ESPRESSO input:
```
&SYSTEM
  ibrav = 0, nat = 9, ntyp = 3
/
ATOMIC_SPECIES
Au 196.97 Au.upf
In 114.82 In.upf
Ac 227.00 Ac.upf
CELL_PARAMETERS angstrom
-1.883 -0.909 5.429
-1.083 -3.930 -4.151
6.566 -3.580 1.677
ATOMIC_POSITIONS crystal
Au 0.500 0.500 0.194
Au 0.000 0.500 0.194
Au 0.000 0.500 0.806
In 0.667 0.333 0.500
In 0.333 0.667 0.500
Ac 0.000 0.000 0.000
Au 0.500 0.000 0.194
Au 0.500 0.500 0.806
Au 0.500 0.000 0.806
```

magnetization	0.00	μB/f.u.
relative energy among the computed polymorphs	53	kJ/mol of formula units